# AcLaTePb, optimized geometry, DFT PBE
data_AcLaTePb
_symmetry_space_group_name_H-M 'P 1'
_symmetry_Int_Tables_number 1
_symmetry_space_group_name_Hall 'P 1'
_cell_length_a 8.179
_cell_length_b 8.179
_cell_length_c 8.179
_cell_angle_alpha 33.80
_cell_angle_beta 33.80
_cell_angle_gamma 33.80
loop_
_atom_site_label
_atom_site_type_symbol
_atom_site_fract_x
_atom_site_fract_y
_atom_site_fract_z
_atom_site_occupancy
Ac1 Ac 0.000 0.000 0.000 1
La1 La 0.494 0.494 0.494 1
Te1 Te 0.244 0.244 0.244 1
Pb1 Pb 0.751 0.751 0.751 1
# E_tot, eV/atom: -5.052
# SG: R3m (160)
# Distance to the lowest polymorph of the same formula, eV/f.u.: 0.000
# Energy relative to the elements, uncorrected, eV/atom: -1.08

=====

# Ac3La3Tl2Pb, optimized geometry, DFT PBE
data_Ac3La3Tl2Pb
_symmetry_space_group_name_H-M 'P 1'
_symmetry_Int_Tables_number 1
_symmetry_space_group_name_Hall 'P 1'
_cell_length_a 9.135
_cell_length_b 9.135
_cell_length_c 4.564
_cell_angle_alpha 90.00
_cell_angle_beta 90.00
_cell_angle_gamma 120.00
loop_
_atom_site_label
_atom_site_type_symbol
_atom_site_fract_x
_atom_site_fract_y
_atom_site_fract_z
_atom_site_occupancy
Ac1 Ac 0.000 0.722 0.000 1
Ac2 Ac 0.278 0.278 0.000 1
Ac3 Ac 0.722 0.000 0.000 1
La1 La 0.000 0.399 0.500 1
La2 La 0.399 0.000 0.500 1
La3 La 0.601 0.601 0.500 1
Tl1 Tl 0.333 0.667 0.000 1
Tl2 Tl 0.667 0.333 0.000 1
Pb1 Pb 0.000 0.000 0.500 1
# E_tot, eV/atom: -4.236
# SG: P-62m (189)
# Energy of formation from the pure elements, eV/f.u.: -2.58

=====

# AcLaTmPb, optimized geometry, DFT PBE
data_AcLaTmPb
_symmetry_space_group_name_H-M 'P 1'
_symmetry_Int_Tables_number 1
_symmetry_space_group_name_Hall 'P 1'
_cell_length_a 5.709
_cell_length_b 5.709
_cell_length_c 5.709
_cell_angle_alpha 60.00
_cell_angle_beta 60.00
_cell_angle_gamma 60.00
loop_
_atom_site_label
_atom_site_type_symbol
_atom_site_fract_x
_atom_site_fract_y
_atom_site_fract_z
_atom_site_occupancy
Ac1 Ac 0.000 0.000 0.000 1
La1 La 0.750 0.750 0.750 1
Tm1 Tm 0.250 0.250 0.250 1
Pb1 Pb 0.500 0.500 0.500 1
# E_tot, eV/atom: -4.385
# SG: F-43m (216)
# Energy of formation from the pure elements, eV/f.u.: -0.33

=====

# Ac3LaPd8, optimized geometry, DFT PBE
data_Ac3LaPd8
_symmetry_space_group_name_H-M 'P 1'
_symmetry_Int_Tables_number 1
_symmetry_space_group_name_Hall 'P 1'
_cell_length_a 9.814
_cell_length_b 9.814
_cell_length_c 9.814
_cell_angle_alpha 33.49
_cell_angle_beta 33.49
_cell_angle_gamma 33.49
loop_
_atom_site_label
_atom_site_type_symbol
_atom_site_fract_x
_atom_site_fract_y
_atom_site_fract_z
_atom_site_occupancy
Ac1 Ac 0.000 0.000 0.000 1
Ac2 Ac 0.126 0.126 0.126 1
Ac3 Ac 0.622 0.622 0.622 1
La1 La 0.497 0.497 0.497 1
Pd1 Pd 0.061 0.061 0.561 1
Pd2 Pd 0.061 0.561 0.061 1
Pd3 Pd 0.062 0.562 0.562 1
Pd4 Pd 0.311 0.311 0.311 1
Pd5 Pd 0.561 0.061 0.061 1
Pd6 Pd 0.562 0.062 0.562 1
Pd7 Pd 0.562 0.562 0.062 1
Pd8 Pd 0.812 0.812 0.812 1
# E_tot, eV/atom: -5.668
# SG: R3m (160)
# Energy of formation from the pure elements, eV/f.u.: -9.22